(1)
Computed, not measured: crystalline Pm2SmCdHg4 at its relaxed geometry at the PBE level of DFT.

Structure (POSCAR):
```
Pm2SmCdHg4
1.0
5.2216 0.0000 0.0000
2.6108 4.5221 0.0000
2.6108 1.5074 8.9344
Hg Pm Sm Cd
4 2 1 1
Direct
0.6307 0.6307 0.1079
0.8776 0.8776 0.3671
0.1224 0.1224 0.6329
0.3693 0.3693 0.8921
0.2407 0.2407 0.2780
0.7593 0.7593 0.7220
0.0000 0.0000 0.0000
0.5000 0.5000 0.5000
```

Summary:
E_form	-3.5	eV/f.u.
total moment	0.000	μB/atom

(2)
Computed, not measured: crystalline PmSm2CdHg4 at its relaxed geometry at the PBE level of DFT.

Structure (POSCAR):
```
PmSm2CdHg4
1.0
-2.4930 -0.0060 4.5701
2.0231 -2.5459 4.0653
4.2731 6.5437 5.3046
Cd Sm Hg Pm
1 2 4 1
Direct
0.5000 0.5000 0.5000
0.2405 0.2405 0.2786
0.7595 0.7595 0.7214
0.1228 0.1228 0.6316
0.3711 0.3711 0.8866
0.6289 0.6289 0.1134
0.8772 0.8772 0.3684
0.0000 0.0000 0.0000
```

Summary:
E_form	-3.5	eV/f.u.
total moment	0.000	μB/atom

(3)
Computed, not measured: crystalline PmCdSnHg at its relaxed geometry at the PBE level of DFT.

Structure (POSCAR):
```
PmCdSnHg
1.0
-3.5620 3.7473 -1.0425
-4.2888 0.4784 3.0322
-0.4966 4.1386 3.2315
Cd Sn Pm Hg
1 1 1 1
Direct
0.7500 0.7500 0.7500
0.0000 0.0000 0.0000
0.2500 0.2500 0.2500
0.5000 0.5000 0.5000
```

Summary:
E_form	-1.2	eV/f.u.
E above lowest polymorph	0.1501	eV per atom
total moment	0.000	μB/atom

(4)
Computed, not measured: crystalline PmCdSnHg at its relaxed geometry at the PBE level of DFT.

Structure (POSCAR):
```
PmCdSnHg
1.0
-0.7761 3.8406 2.1698
-2.8514 1.3310 -3.3758
-3.7559 -2.0865 2.3498
Pm Hg Cd Sn
1 1 1 1
Direct
0.0000 0.5000 0.5000
0.5000 0.5000 0.0000
0.0000 0.0000 0.0000
0.5000 0.0000 0.5000
```

Summary:
E_form	-1.8	eV/f.u.
E above lowest polymorph	0.0000	eV per atom
total moment	0.000	μB/atom

(5)
Computed, not measured: crystalline SrPmCdHg at its relaxed geometry at the PBE level of DFT.

Structure (POSCAR):
```
SrPmCdHg
1.0
5.5275 0.0000 0.0000
2.7637 4.7869 0.0000
2.7637 1.5956 4.5131
Cd Sr Pm Hg
1 1 1 1
Direct
0.7500 0.7500 0.7500
0.0000 0.0000 0.0000
0.5000 0.5000 0.5000
0.2500 0.2500 0.2500
```

Summary:
E_form	-1.5	eV/f.u.
E above lowest polymorph	0.0246	eV per atom
total moment	0.000	μB/atom

(6)
Computed, not measured: crystalline SrPmCdHg at its relaxed geometry at the PBE level of DFT.

Structure (POSCAR):
```
SrPmCdHg
1.0
-1.1877 0.4630 3.7129
-0.9490 -3.8054 0.1710
7.2179 -1.6868 2.5193
Sr Pm Cd Hg
1 1 1 1
Direct
0.0000 0.0000 0.8601
0.0000 0.0000 0.3528
0.5000 0.5000 0.5829
0.5000 0.5000 0.1322
```

Summary:
E_form	-1.6	eV/f.u.
E above lowest polymorph	0.0000	eV per atom
total moment	0.003	μB/atom

(7)
Computed, not measured: crystalline Sr2PmCdHg6 at its relaxed geometry at the PBE level of DFT.

Structure (POSCAR):
```
Sr2PmCdHg6
1.0
-7.1822 -1.7269 -3.1566
3.5128 -1.8417 -6.9856
-1.2846 -7.1767 -3.3728
Cd Hg Pm Sr
1 6 1 2
Direct
0.0000 0.0000 0.0000
0.7568 0.7568 0.0000
0.2432 0.2432 0.5137
0.7568 0.2432 0.0000
0.2432 0.7568 0.0000
0.2432 0.2432 0.0000
0.7568 0.7568 0.4863
0.5000 0.5000 0.0000
0.7500 0.2500 0.5000
0.2500 0.7500 0.5000
```

Summary:
E_form	-0.9	eV/f.u.
total moment	0.000	μB/atom

(8)
Computed, not measured: crystalline TbPmCdHg at its relaxed geometry at the PBE level of DFT.

Structure (POSCAR):
```
TbPmCdHg
1.0
5.3505 0.0000 0.0000
2.6752 4.6337 0.0000
2.6752 1.5446 4.3687
Pm Hg Cd Tb
1 1 1 1
Direct
0.0000 0.0000 0.0000
0.2500 0.2500 0.2500
0.7500 0.7500 0.7500
0.5000 0.5000 0.5000
```

Summary:
E_form	-1.6	eV/f.u.
E above lowest polymorph	0.0041	eV per atom
total moment	0.195	μB/atom

(9)
Computed, not measured: crystalline TbPmCdHg at its relaxed geometry at the PBE level of DFT.

Structure (POSCAR):
```
TbPmCdHg
1.0
-0.2707 -2.5825 -2.7302
3.7580 -0.1720 -0.2100
0.0391 -5.5461 5.2422
Cd Hg Tb Pm
1 1 1 1
Direct
0.0000 0.0000 0.8460
0.0000 0.0000 0.3705
0.5000 0.5000 0.6033
0.5000 0.5000 0.1082
```

Summary:
E_form	-1.6	eV/f.u.
E above lowest polymorph	0.0000	eV per atom
total moment	0.175	μB/atom

(10)
Computed, not measured: crystalline TbPm2CdHg4 at its relaxed geometry at the PBE level of DFT.

Structure (POSCAR):
```
TbPm2CdHg4
1.0
-0.4193 4.4057 -2.7624
-2.6419 4.0566 1.9446
6.3757 5.8555 3.4448
Pm Hg Tb Cd
2 4 1 1
Direct
0.7584 0.7584 0.7249
0.2416 0.2416 0.2751
0.1216 0.1216 0.6352
0.6322 0.6322 0.1034
0.3678 0.3678 0.8966
0.8784 0.8784 0.3648
0.0000 0.0000 0.0000
0.5000 0.5000 0.5000
```

Summary:
E_form	-3.6	eV/f.u.
total moment	0.000	μB/atom

(11)
Computed, not measured: crystalline Pm2ThCd2Hg2 at its relaxed geometry at the PBE level of DFT.

Structure (POSCAR):
```
Pm2ThCd2Hg2
1.0
-4.2617 2.0781 -1.5278
-2.1286 -1.5132 -4.2420
-6.8375 -6.0839 2.6763
Cd Pm Hg Th
2 2 2 1
Direct
0.7402 0.7402 0.7793
0.2598 0.2598 0.2207
0.1261 0.1261 0.6218
0.8739 0.8739 0.3782
0.6051 0.6051 0.1846
0.3949 0.3949 0.8154
0.0000 0.0000 0.0000
```

Summary:
E_form	-1.3	eV/f.u.
total moment	0.000	μB/atom

(12)
Computed, not measured: crystalline PmThCdHg at its relaxed geometry at the PBE level of DFT.

Structure (POSCAR):
```
PmThCdHg
1.0
-1.8207 -2.7527 -4.2960
3.4832 -2.6425 -3.1987
0.1109 -5.4162 0.0077
Hg Th Pm Cd
1 1 1 1
Direct
0.2500 0.2500 0.2500
0.5000 0.5000 0.5000
0.0000 0.0000 0.0000
0.7500 0.7500 0.7500
```

Summary:
E_form	-0.9	eV/f.u.
total moment	0.143	μB/atom